# 1
# MgScB2

Crystalline MgScB2 at its relaxed geometry (GGA-PBE, Alexandria via LeMat-Bulk).

- Space-group type: P1, No. 1

```
data_MgScB2
_chemical_formula_sum 'Mg2 Sc2 B4'
_symmetry_space_group_name_H-M 'P 1'
_symmetry_Int_Tables_number 1
_cell_length_a 3.130
_cell_length_b 4.735
_cell_length_c 8.264
_cell_angle_alpha 89.50
_cell_angle_beta 79.15
_cell_angle_gamma 70.62
loop_
_symmetry_equiv_pos_as_xyz
'x,y,z'
loop_
_atom_site_label
_atom_site_type_symbol
_atom_site_fract_x
_atom_site_fract_y
_atom_site_fract_z
Mg1 Mg 0.483 0.402 0.621
B1 B 0.482 0.927 0.094
Mg2 Mg 0.652 0.878 0.809
B2 B 0.887 0.055 0.156
Sc1 Sc 0.347 0.906 0.386
Sc2 Sc 0.198 0.498 0.093
B3 B 0.659 0.345 0.323
B4 B 0.061 0.472 0.394
```


# 2
# MgScB4

Crystalline MgScB4 at its relaxed geometry (GGA-PBE, Alexandria via LeMat-Bulk).

- Space-group type: Immm, No. 71

```
data_MgScB4
_chemical_formula_sum 'Mg1 Sc1 B4'
_symmetry_space_group_name_H-M 'P 1'
_symmetry_Int_Tables_number 1
_cell_length_a 3.118
_cell_length_b 4.713
_cell_length_c 4.713
_cell_angle_alpha 69.16
_cell_angle_beta 70.68
_cell_angle_gamma 70.68
loop_
_symmetry_equiv_pos_as_xyz
'x,y,z'
loop_
_atom_site_label
_atom_site_type_symbol
_atom_site_fract_x
_atom_site_fract_y
_atom_site_fract_z
B1 B 0.245 0.424 0.085
Mg1 Mg 0.000 0.000 0.000
Sc1 Sc 0.500 0.500 0.500
B2 B 0.245 0.085 0.424
B3 B 0.754 0.915 0.576
B4 B 0.754 0.576 0.915
```


# 3
# MgScB3

Crystalline MgScB3 at its relaxed geometry (GGA-PBE, Alexandria via LeMat-Bulk).

- ΔE to the lowest computed polymorph: 0 meV/atom
- Space-group type: Pm-3m, No. 221

```
data_MgScB3
_chemical_formula_sum 'Mg1 Sc1 B3'
_symmetry_space_group_name_H-M 'P 1'
_symmetry_Int_Tables_number 1
_cell_length_a 4.139
_cell_length_b 4.139
_cell_length_c 4.139
_cell_angle_alpha 90.00
_cell_angle_beta 90.00
_cell_angle_gamma 90.00
loop_
_symmetry_equiv_pos_as_xyz
'x,y,z'
loop_
_atom_site_label
_atom_site_type_symbol
_atom_site_fract_x
_atom_site_fract_y
_atom_site_fract_z
B1 B 0.500 0.000 0.000
Mg1 Mg 0.000 0.000 0.000
Sc1 Sc 0.500 0.500 0.500
B2 B 0.000 0.000 0.500
B3 B 0.000 0.500 0.000
```


# 4
# Mg3ScB

Crystalline Mg3ScB at its relaxed geometry (GGA-PBE, Alexandria via LeMat-Bulk).

- ΔE to the lowest computed polymorph: 1557 meV/atom
- Space-group type: Pm-3m, No. 221

```
data_Mg3ScB
_chemical_formula_sum 'Mg3 Sc1 B1'
_symmetry_space_group_name_H-M 'P 1'
_symmetry_Int_Tables_number 1
_cell_length_a 5.640
_cell_length_b 5.640
_cell_length_c 5.640
_cell_angle_alpha 90.00
_cell_angle_beta 90.00
_cell_angle_gamma 90.00
loop_
_symmetry_equiv_pos_as_xyz
'x,y,z'
loop_
_atom_site_label
_atom_site_type_symbol
_atom_site_fract_x
_atom_site_fract_y
_atom_site_fract_z
Mg1 Mg 0.000 0.500 0.000
B1 B 0.500 0.500 0.500
Mg2 Mg 0.000 0.000 0.500
Mg3 Mg 0.500 0.000 0.000
Sc1 Sc 0.000 0.000 0.000
```


# 5
# MgScB2

Crystalline MgScB2 at its relaxed geometry (GGA-PBE, Alexandria via LeMat-Bulk).

- Space-group type: P2_1/m, No. 11

```
data_MgScB2
_chemical_formula_sum 'Mg2 Sc2 B4'
_symmetry_space_group_name_H-M 'P 1'
_symmetry_Int_Tables_number 1
_cell_length_a 5.397
_cell_length_b 3.147
_cell_length_c 6.421
_cell_angle_alpha 90.00
_cell_angle_beta 103.02
_cell_angle_gamma 90.00
loop_
_symmetry_equiv_pos_as_xyz
'x,y,z'
loop_
_atom_site_label
_atom_site_type_symbol
_atom_site_fract_x
_atom_site_fract_y
_atom_site_fract_z
Sc1 Sc 0.326 0.750 0.274
B1 B 0.424 0.250 0.010
Mg1 Mg 0.823 0.250 0.278
B2 B 0.082 0.250 0.008
B3 B 0.576 0.750 0.990
Sc2 Sc 0.674 0.250 0.726
Mg2 Mg 0.177 0.750 0.722
B4 B 0.918 0.750 0.992
```


# 6
# MgSc3B

Crystalline MgSc3B at its relaxed geometry (GGA-PBE, Alexandria via LeMat-Bulk).

- ΔE to the lowest computed polymorph: 1675 meV/atom
- Space-group type: Pm-3m, No. 221

```
data_MgSc3B
_chemical_formula_sum 'Mg1 Sc3 B1'
_symmetry_space_group_name_H-M 'P 1'
_symmetry_Int_Tables_number 1
_cell_length_a 5.071
_cell_length_b 5.071
_cell_length_c 5.071
_cell_angle_alpha 90.00
_cell_angle_beta 90.00
_cell_angle_gamma 90.00
loop_
_symmetry_equiv_pos_as_xyz
'x,y,z'
loop_
_atom_site_label
_atom_site_type_symbol
_atom_site_fract_x
_atom_site_fract_y
_atom_site_fract_z
Mg1 Mg 0.000 0.000 0.000
Sc1 Sc 0.000 0.500 0.000
Sc2 Sc 0.000 0.000 0.500
B1 B 0.500 0.500 0.500
Sc3 Sc 0.500 0.000 0.000
```


# 7
# MgScB2

Crystalline MgScB2 at its relaxed geometry (GGA-PBE, Alexandria via LeMat-Bulk).

- Space-group type: C2/m, No. 12

```
data_MgScB2
_chemical_formula_sum 'Mg4 Sc4 B8'
_symmetry_space_group_name_H-M 'P 1'
_symmetry_Int_Tables_number 1
_cell_length_a 5.378
_cell_length_b 3.157
_cell_length_c 12.605
_cell_angle_alpha 90.00
_cell_angle_beta 98.92
_cell_angle_gamma 90.00
loop_
_symmetry_equiv_pos_as_xyz
'x,y,z'
loop_
_atom_site_label
_atom_site_type_symbol
_atom_site_fract_x
_atom_site_fract_y
_atom_site_fract_z
B1 B 0.339 0.500 0.002
Mg1 Mg 0.554 0.500 0.642
B2 B 0.661 0.000 0.498
Mg2 Mg 0.446 0.500 0.358
Sc1 Sc 0.955 0.000 0.365
Sc2 Sc 0.045 0.000 0.635
B3 B 0.661 0.500 0.998
B4 B 0.170 0.500 0.501
Sc3 Sc 0.955 0.500 0.865
Mg3 Mg 0.554 0.000 0.142
B5 B 0.339 0.000 0.502
Mg4 Mg 0.446 0.000 0.858
B6 B 0.830 0.000 0.999
B7 B 0.830 0.500 0.499
B8 B 0.170 0.000 0.001
Sc4 Sc 0.045 0.500 0.135
```


# 8
# MgScSnB2

Crystalline MgScSnB2 at its relaxed geometry (GGA-PBE, Alexandria via LeMat-Bulk).

- Space-group type: P4/mmm, No. 123

```
data_MgScSnB2
_chemical_formula_sum 'Mg1 Sc1 Sn1 B2'
_symmetry_space_group_name_H-M 'P 1'
_symmetry_Int_Tables_number 1
_cell_length_a 4.334
_cell_length_b 5.201
_cell_length_c 4.334
_cell_angle_alpha 90.00
_cell_angle_beta 90.00
_cell_angle_gamma 90.00
loop_
_symmetry_equiv_pos_as_xyz
'x,y,z'
loop_
_atom_site_label
_atom_site_type_symbol
_atom_site_fract_x
_atom_site_fract_y
_atom_site_fract_z
B1 B 0.000 0.000 0.500
B2 B 0.500 0.000 0.000
Mg1 Mg 0.000 0.000 0.000
Sn1 Sn 0.500 0.500 0.500
Sc1 Sc 0.000 0.500 0.000
```


# 9
# MgSc2SnB

Crystalline MgSc2SnB at its relaxed geometry (GGA-PBE, Alexandria via LeMat-Bulk).

- Space-group type: P4/mmm, No. 123

```
data_MgSc2SnB
_chemical_formula_sum 'Mg1 Sc2 Sn1 B1'
_symmetry_space_group_name_H-M 'P 1'
_symmetry_Int_Tables_number 1
_cell_length_a 4.679
_cell_length_b 4.679
_cell_length_c 4.519
_cell_angle_alpha 90.00
_cell_angle_beta 90.00
_cell_angle_gamma 90.00
loop_
_symmetry_equiv_pos_as_xyz
'x,y,z'
loop_
_atom_site_label
_atom_site_type_symbol
_atom_site_fract_x
_atom_site_fract_y
_atom_site_fract_z
Sc1 Sc 0.500 0.000 0.000
Sn1 Sn 0.500 0.500 0.500
Sc2 Sc 0.000 0.500 0.000
Mg1 Mg 0.000 0.000 0.500
B1 B 0.000 0.000 0.000
```


# 10
# MgSc2TcB

Crystalline MgSc2TcB at its relaxed geometry (GGA-PBE, Alexandria via LeMat-Bulk).

- Space-group type: P4/mmm, No. 123

```
data_MgSc2TcB
_chemical_formula_sum 'Mg1 Sc2 Tc1 B1'
_symmetry_space_group_name_H-M 'P 1'
_symmetry_Int_Tables_number 1
_cell_length_a 4.742
_cell_length_b 4.742
_cell_length_c 4.062
_cell_angle_alpha 90.00
_cell_angle_beta 90.00
_cell_angle_gamma 90.00
loop_
_symmetry_equiv_pos_as_xyz
'x,y,z'
loop_
_atom_site_label
_atom_site_type_symbol
_atom_site_fract_x
_atom_site_fract_y
_atom_site_fract_z
Sc1 Sc 0.500 0.000 0.000
Tc1 Tc 0.000 0.000 0.500
Mg1 Mg 0.500 0.500 0.500
B1 B 0.000 0.000 0.000
Sc2 Sc 0.000 0.500 0.000
```


# 11
# Mg2ScTlB

Crystalline Mg2ScTlB at its relaxed geometry (GGA-PBE, Alexandria via LeMat-Bulk).

- Space-group type: P4/mmm, No. 123

```
data_Mg2ScTlB
_chemical_formula_sum 'Mg2 Sc1 Tl1 B1'
_symmetry_space_group_name_H-M 'P 1'
_symmetry_Int_Tables_number 1
_cell_length_a 5.797
_cell_length_b 4.320
_cell_length_c 5.797
_cell_angle_alpha 90.00
_cell_angle_beta 90.00
_cell_angle_gamma 90.00
loop_
_symmetry_equiv_pos_as_xyz
'x,y,z'
loop_
_atom_site_label
_atom_site_type_symbol
_atom_site_fract_x
_atom_site_fract_y
_atom_site_fract_z
Tl1 Tl 0.500 0.500 0.500
Mg1 Mg 0.500 0.000 0.000
Mg2 Mg 0.000 0.000 0.500
B1 B 0.000 0.500 0.000
Sc1 Sc 0.000 0.000 0.000
```


# 12
# MgSc2TlB

Crystalline MgSc2TlB at its relaxed geometry (GGA-PBE, Alexandria via LeMat-Bulk).

- Space-group type: P4/mmm, No. 123

```
data_MgSc2TlB
_chemical_formula_sum 'Mg1 Sc2 Tl1 B1'
_symmetry_space_group_name_H-M 'P 1'
_symmetry_Int_Tables_number 1
_cell_length_a 4.705
_cell_length_b 4.705
_cell_length_c 4.570
_cell_angle_alpha 90.00
_cell_angle_beta 90.00
_cell_angle_gamma 90.00
loop_
_symmetry_equiv_pos_as_xyz
'x,y,z'
loop_
_atom_site_label
_atom_site_type_symbol
_atom_site_fract_x
_atom_site_fract_y
_atom_site_fract_z
Sc1 Sc 0.500 0.000 0.000
Sc2 Sc 0.000 0.500 0.000
B1 B 0.000 0.000 0.000
Tl1 Tl 0.500 0.500 0.500
Mg1 Mg 0.000 0.000 0.500
```


Computed values of DFT formation energy (unit: meV per atom) for the preceding records, in sequence: -333 -478 1538 1871 -359 1580 -370 1399 -370 -147 972 -192.
Computed values of N(E_F) (unit: states/eV/atom) for the preceding records, in sequence: 0.3345 0.1760 0.2635 1.7251 0.4756 1.4638 0.3673 0.8354 0.6209 1.1579 0.7060 0.6849.
Computed values of total magnetization (unit: μB/f.u.) for the preceding records, in sequence: 0.00 0.00 0.00 0.49 0.00 0.00 0.00 0.00 0.00 0.00 0.00 0.00.